9
Lattice="-4.1644 -4.3711 1.6915 0.0183 -7.1337 -6.7696 4.5619 -6.6770 5.5968" Properties=species:S:1:pos:R:3 comment="KBa8, relaxed, DFT PBEsol" dft_energy_ev_per_atom=-1.98 delta_e_f_mev_per_atom=59 volume_a3_per_cell=545 pbc="T T T"
Ba -2.7679 -7.6608 -3.3714
Ba -1.2531 -7.5139 0.7379
Ba 1.5310 -6.9817 -2.6524
Ba -1.3782 -3.8440 -1.7067
Ba 1.6689 -10.6680 -0.2192
Ba 0.2528 -7.3572 4.8502
Ba 0.1447 -3.6910 2.4382
Ba 3.0492 -6.8291 1.4797
K 0.0000 0.0000 0.0000